[1]
Entry from the Alexandria database: a relaxed Cu4HgPt crystal (PBE).

```
6
Lattice="0.000 3.477 3.477 3.477 0.000 3.477 3.477 3.477 0.000" Properties=species:S:1:pos:R:3 pbc="T T T"
Pt 0.000 0.000 0.000
Cu 2.605 4.349 4.349
Cu 4.349 2.605 4.349
Cu 4.349 4.349 2.605
Cu 2.605 2.605 2.605
Hg 5.215 5.215 5.215
```

Computed properties:
N(E_F) = 2.70 states/eV per cell
VASP energy = -3.74 eV/atom
formation enthalpy at 0 K = 0.0497 eV/atom
space group = No. 216

[2]
Entry from the Alexandria database: a relaxed TcSnGe2Ir crystal (PBE).

```
5
Lattice="5.120 0.000 0.000 0.000 4.919 0.000 0.000 0.000 5.120" Properties=species:S:1:pos:R:3 pbc="T T T"
Ge 2.560 0.000 0.000
Ge 0.000 0.000 2.560
Tc 2.560 2.459 2.560
Sn 0.000 0.000 0.000
Ir 0.000 2.459 0.000
```

Computed properties:
N(E_F) = 3.31 states/eV per cell
VASP energy = -4.75 eV/atom
formation enthalpy at 0 K = 1.7408 eV/atom
space group = No. 123

[3]
Entry from the Alexandria database: a relaxed YV2Co crystal (PBE).

```
4
Lattice="0.000 3.129 3.129 3.129 0.000 3.129 3.129 3.129 0.000" Properties=species:S:1:pos:R:3 pbc="T T T"
V 1.564 1.564 1.564
V 4.693 4.693 4.693
Co 0.000 0.000 0.000
Y 3.129 3.129 3.129
```

Computed properties:
N(E_F) = 6.07 states/eV per cell
energy relative to the lowest polymorph listed for this composition = 0.000 eV/atom
VASP energy = -7.44 eV/atom
formation enthalpy at 0 K = 0.5156 eV/atom
space group = No. 225

[4]
Entry from the Alexandria database: a relaxed LaPmLuCd crystal (PBE).

```
4
Lattice="5.560 0.000 0.000 2.780 4.815 0.000 2.780 1.605 4.540" Properties=species:S:1:pos:R:3 pbc="T T T"
Cd 8.340 4.815 3.405
Pm 5.560 3.210 2.270
La 0.000 0.000 0.000
Lu 2.780 1.605 1.135
```

Computed properties:
N(E_F) = 4.84 states/eV per cell
VASP energy = -3.85 eV/atom
formation enthalpy at 0 K = -0.0703 eV/atom
space group = No. 216

[5]
Entry from the Alexandria database: a relaxed Tb3Al2Ga9Au crystal (PBE).

```
15
Lattice="5.668 0.000 0.000 -2.834 4.909 0.000 0.000 0.000 12.483" Properties=species:S:1:pos:R:3 pbc="T T T"
Ga 2.834 0.000 0.000
Ga 1.416 4.090 4.154
Ga -1.416 4.090 4.154
Ga -1.417 2.454 0.000
Ga 1.417 2.454 0.000
Ga 0.000 1.637 4.154
Ga 2.834 3.271 8.329
Ga 4.250 0.819 8.329
Ga 1.418 0.819 8.329
Al 2.834 1.636 10.454
Al 0.000 3.272 2.029
Tb 0.000 0.000 0.000
Tb 2.834 1.636 2.667
Tb 0.000 3.272 9.816
Au 0.000 0.000 6.242
```

Computed properties:
N(E_F) = 6.81 states/eV per cell
VASP energy = -3.66 eV/atom
formation enthalpy at 0 K = -0.2031 eV/atom
space group = No. 164

[6]
Entry from the Alexandria database: a relaxed NaTlZnO3 crystal (PBE).

```
12
Lattice="3.329 0.000 0.000 0.000 8.016 1.049 0.000 -0.837 5.549" Properties=species:S:1:pos:R:3 pbc="T T T"
O 2.497 0.609 3.403
O 0.832 1.152 0.474
O 2.497 6.027 6.124
O 0.832 6.570 3.195
O 2.497 3.863 1.833
O 0.832 3.317 4.766
Tl 2.497 1.834 5.381
Tl 0.832 5.346 1.218
Na 0.832 2.254 2.629
Na 2.497 4.925 3.970
Zn 0.832 -0.569 4.080
Zn 2.497 7.748 2.518
```

Computed properties:
N(E_F) = 3.50 states/eV per cell
VASP energy = -4.41 eV/atom
space group = No. 11
formation energy (no corrections) = -1.10 eV per atom

[7]
Entry from the Alexandria database: a relaxed Eu2TlPb crystal (PBE).

```
4
Lattice="-1.459 -2.816 -2.973 -0.457 -3.800 3.824 -5.076 1.596 0.980" Properties=species:S:1:pos:R:3 pbc="T T T"
Eu -0.228 -1.900 1.912
Eu -2.538 0.798 0.490
Tl -0.730 -1.408 -1.487
Pb -3.496 -2.510 0.915
```

Computed properties:
N(E_F) = 15.02 states/eV per cell
VASP energy = -7.14 eV/atom
formation enthalpy at 0 K = -0.4876 eV/atom
space group = No. 123

[8]
Entry from the Alexandria database: a relaxed In4CoSe crystal (PBE).

```
6
Lattice="3.104 -4.665 2.145 3.781 0.771 4.594 -1.332 -2.264 5.394" Properties=species:S:1:pos:R:3 pbc="T T T"
In 3.977 -1.920 6.850
In 2.080 -2.307 4.545
In 3.638 -4.647 5.621
In 1.412 -3.443 7.251
Co 0.000 0.000 0.000
Se 4.165 -4.619 9.100
```

Computed properties:
N(E_F) = 6.56 states/eV per cell
VASP energy = -2.99 eV/atom
space group = No. 216
formation energy (no corrections) = 0.60 eV per atom

[9]
Entry from the Alexandria database: a relaxed CaIn2Re crystal (PBE).

```
4
Lattice="-2.378 2.207 4.782 -4.802 -2.535 1.977 5.507 -1.052 -1.403" Properties=species:S:1:pos:R:3 pbc="T T T"
Re -3.685 -0.169 3.469
In -7.125 -0.326 6.708
In -0.093 0.502 3.250
Ca -1.540 -1.880 2.068
```

Computed properties:
N(E_F) = 2.72 states/eV per cell
energy relative to the lowest polymorph listed for this composition = 0.172 eV/atom
VASP energy = -4.56 eV/atom
formation enthalpy at 0 K = 0.4192 eV/atom
space group = No. 44

[10]
Entry from the Alexandria database: a relaxed Rb3Ac2PrSe6 crystal (PBE).

```
12
Lattice="-0.070 -4.534 0.313 9.343 -0.298 -2.227 -0.713 2.991 10.170" Properties=species:S:1:pos:R:3 pbc="T T T"
Se 6.549 -1.787 8.588
Se 0.677 -2.075 3.095
Se 4.938 -2.179 2.539
Se 3.622 0.338 5.717
Se 2.012 -0.054 -0.332
Se 7.883 0.234 5.161
Ac 5.723 -1.982 5.583
Ac 2.838 0.141 2.673
Pr -0.035 -2.267 0.156
Rb 7.539 -0.007 1.588
Rb 4.636 -2.416 -0.957
Rb 1.021 -1.834 6.668
```

Computed properties:
N(E_F) = 0.00 states/eV per cell
VASP energy = -4.84 eV/atom
space group = No. 12
formation energy (no corrections) = -1.78 eV per atom

[11]
Entry from the Alexandria database: a relaxed CsLiPd2 crystal (PBE).

```
8
Lattice="5.060 0.000 0.000 0.000 5.060 0.000 2.530 2.530 8.883" Properties=species:S:1:pos:R:3 pbc="T T T"
Cs 5.060 2.530 4.441
Cs 0.000 0.000 0.000
Pd 3.795 5.463 6.662
Pd 2.127 1.265 2.221
Pd 6.325 4.657 6.662
Pd 2.933 3.795 2.221
Li 2.530 2.530 0.000
Li 2.530 5.060 4.441
```

Computed properties:
N(E_F) = 4.37 states/eV per cell
VASP energy = -3.15 eV/atom
formation enthalpy at 0 K = 0.1390 eV/atom
space group = No. 122

[12]
Entry from the Alexandria database: a relaxed CePuSbBr crystal (PBE).

```
4
Lattice="5.360 0.000 0.000 2.680 4.642 0.000 2.680 1.547 4.376" Properties=species:S:1:pos:R:3 pbc="T T T"
Ce 5.360 3.095 2.188
Pu 0.000 0.000 0.000
Br 2.680 1.547 1.094
Sb 8.040 4.642 3.282
```

Computed properties:
N(E_F) = 12.25 states/eV per cell
VASP energy = -7.42 eV/atom
space group = No. 216
formation energy (no corrections) = -0.91 eV per atom

We obtain volume values of 14.0; 25.8; 15.3; 30.4; 23.2; 12.6; 31.8; 25.5; 21.7; 36.0; 28.4; 27.2 Å³/atom for the records listed above, in that order.